Entry 1:
First-principles (PBE-GGA) data for a geometry-optimized Na2SnPbF6 structure, as listed in Alexandria via LeMat-Bulk.

```
10
Lattice="-0.155 6.055 -1.444 -5.119 3.351 1.165 0.027 4.272 4.484" Properties=species:S:1:pos:R:3 pbc="T T T"
F -1.068 5.811 0.455
Pb -1.631 3.216 0.232
Sn -4.263 10.051 2.313
Na -2.767 6.748 1.734
Na -0.131 4.172 4.080
F -3.672 7.839 3.646
F -0.949 8.061 2.528
F -3.540 8.684 0.707
F -1.918 5.466 3.550
F -4.511 5.228 1.944
```

Results
Symmetry   R3 (146)
Raw total energy   -4.6511 eV per atom

***

Entry 2:
First-principles (PBE-GGA) data for a geometry-optimized NaSn2PbF structure, as listed in Alexandria via LeMat-Bulk.

```
5
Lattice="5.941 0.000 0.000 0.000 3.902 0.000 0.000 0.000 5.941" Properties=species:S:1:pos:R:3 pbc="T T T"
F 0.000 1.951 0.000
Na 0.000 0.000 0.000
Sn 0.000 0.000 2.971
Sn 2.971 0.000 0.000
Pb 2.971 1.951 2.971
```

Results
Symmetry   P4/mmm (123)
Raw total energy   -3.3716 eV per atom

***

Entry 3:
First-principles (PBE-GGA) data for a geometry-optimized Na2SrPbF6 structure, as listed in Alexandria via LeMat-Bulk.

```
10
Lattice="-0.547 -2.885 -5.369 -3.671 -1.491 4.663 -1.853 5.992 0.458" Properties=species:S:1:pos:R:3 pbc="T T T"
F -0.988 -0.568 -2.224
Sr -0.047 -0.008 -0.044
Na -3.898 -0.696 0.719
F -3.241 -2.177 -0.945
F -1.903 3.521 0.568
F -1.908 0.192 1.522
Na -2.980 3.036 -1.379
F -3.842 0.963 -0.997
Pb -2.824 2.259 2.510
F -4.945 1.141 1.829
```

Results
Symmetry   R3 (146)
Raw total energy   -4.8829 eV per atom

***

Entry 4:
First-principles (PBE-GGA) data for a geometry-optimized Na2SrPbF8 structure, as listed in Alexandria via LeMat-Bulk.

```
12
Lattice="-3.281 0.821 -2.017 0.886 -4.557 -3.225 -4.203 -4.392 5.051" Properties=species:S:1:pos:R:3 pbc="T T T"
F -1.438 -0.589 -1.708
Na -4.302 -5.111 1.109
Pb 0.000 0.000 0.000
F -3.523 -2.942 0.694
F -3.972 -1.194 -1.676
Sr -2.102 -2.196 2.525
F -6.362 -3.691 1.195
F -5.161 -7.538 1.517
F -2.627 -6.933 1.485
F -3.076 -5.186 -0.885
Na -2.297 -3.016 -1.300
F -0.237 -4.436 -1.387
```

Results
Symmetry   P2/m (10)
Raw total energy   -4.6362 eV per atom

***

Entry 5:
First-principles (PBE-GGA) data for a geometry-optimized NaSr2PbF structure, as listed in Alexandria via LeMat-Bulk.

```
5
Lattice="-2.537 -4.156 -2.169 4.565 -1.629 -2.218 0.974 -2.658 3.955" Properties=species:S:1:pos:R:3 pbc="T T T"
Pb 1.501 -4.221 -0.216
F 0.000 0.000 0.000
Sr -1.268 -2.078 -1.084
Sr 2.282 -0.814 -1.109
Na 0.487 -1.329 1.977
```

Results
Symmetry   P4/mmm (123)
Raw total energy   -3.4394 eV per atom

***

Entry 6:
First-principles (PBE-GGA) data for a geometry-optimized Na2TcPbF8 structure, as listed in Alexandria via LeMat-Bulk.

```
12
Lattice="4.869 -0.020 -0.002 0.014 5.409 -0.006 0.004 0.008 7.365" Properties=species:S:1:pos:R:3 pbc="T T T"
F 0.875 4.383 5.908
F 4.013 1.019 5.910
F 3.133 3.868 3.677
F 0.873 4.379 1.448
F 1.417 1.364 -0.002
F 4.011 1.014 1.450
Pb 0.002 0.004 3.683
Na 2.442 2.697 1.841
F 1.753 1.529 3.680
Tc 0.000 0.000 0.000
F 3.469 4.034 7.359
Na 2.444 2.701 5.516
```

Results
Symmetry   P2/m (10)
Raw total energy   -5.0566 eV per atom

***

Entry 7:
First-principles (PBE-GGA) data for a geometry-optimized Na2TlPbF structure, as listed in Alexandria via LeMat-Bulk.

```
5
Lattice="4.592 0.000 0.000 0.000 4.592 0.000 0.000 0.000 5.805" Properties=species:S:1:pos:R:3 pbc="T T T"
Na 0.000 2.296 0.000
Pb 2.296 2.296 2.902
Na 2.296 0.000 0.000
F 0.000 0.000 0.000
Tl 0.000 0.000 2.902
```

Results
Symmetry   P4/mmm (123)
Raw total energy   -3.1038 eV per atom

***

Entry 8:
First-principles (PBE-GGA) data for a geometry-optimized NaTl2PbF6 structure, as listed in Alexandria via LeMat-Bulk.

```
20
Lattice="6.404 0.000 -0.026 0.000 6.448 0.000 0.017 0.000 9.086" Properties=species:S:1:pos:R:3 pbc="T T T"
F 5.958 3.354 2.285
F 4.596 1.883 4.839
F 4.544 1.822 8.724
F 5.035 5.107 8.751
F 1.825 4.566 4.221
F 0.463 3.094 6.775
Tl 3.248 3.411 6.795
Pb 3.202 0.000 -0.013
F 1.334 1.402 4.194
Tl 0.037 6.261 2.265
Tl 3.173 3.037 2.265
F 2.765 6.318 6.840
F 1.386 1.341 0.309
F 5.087 5.047 4.866
F 1.877 4.626 0.336
Pb 0.009 3.224 4.543
F 3.656 0.130 2.220
Tl 6.384 0.187 6.795
Na 3.211 0.000 4.530
Na 0.000 3.224 0.000
```

Results
Symmetry   P2_1/c (14)
Raw total energy   -4.1987 eV per atom

***

Entry 9:
First-principles (PBE-GGA) data for a geometry-optimized NaTlPbF4 structure, as listed in Alexandria via LeMat-Bulk.

```
14
Lattice="-0.341 -4.857 -3.938 -2.878 -3.244 4.250 -6.435 5.720 0.008" Properties=species:S:1:pos:R:3 pbc="T T T"
F -3.855 -0.996 -1.202
F -3.406 -3.417 1.591
F -2.256 -2.667 -3.563
Na -3.864 -1.584 2.680
F -5.799 -1.384 1.522
F -6.247 1.037 -1.270
Tl -7.888 0.206 1.321
F -7.397 0.287 3.883
F -5.959 1.908 1.759
Pb -4.286 1.109 0.113
Tl -1.765 -2.586 -1.001
F -3.695 -4.288 -1.439
Na -5.789 -0.796 -2.359
Pb -5.368 -3.489 0.208
```

Results
Symmetry   P2_1/m (11)
Raw total energy   -4.3683 eV per atom

***

Entry 10:
First-principles (PBE-GGA) data for a geometry-optimized NaTmPbF6 structure, as listed in Alexandria via LeMat-Bulk.

```
18
Lattice="5.369 0.000 0.000 0.000 5.369 0.000 0.000 0.000 10.962" Properties=species:S:1:pos:R:3 pbc="T T T"
Pb 2.685 2.685 5.450
F 1.721 1.721 10.796
F 1.031 4.338 2.055
Na 2.685 2.685 1.830
Na 0.000 0.000 7.311
Tm 0.000 0.000 3.634
F 1.153 4.216 9.098
F 3.648 3.648 10.796
Tm 2.685 2.685 9.115
F 4.216 1.153 9.098
F 0.963 4.406 5.315
F 1.531 1.531 3.617
Pb 0.000 0.000 10.931
F 3.716 3.716 7.536
F 4.406 0.963 5.315
F 4.338 1.031 2.055
F 3.838 3.838 3.617
F 1.654 1.654 7.536
```

Results
Symmetry   P4_2nm (102)
Raw total energy   -5.5572 eV per atom

***

Entry 11:
First-principles (PBE-GGA) data for a geometry-optimized Na2TmPbF8 structure, as listed in Alexandria via LeMat-Bulk.

```
12
Lattice="3.858 -0.016 -0.002 0.022 5.557 -0.006 0.005 0.008 7.742" Properties=species:S:1:pos:R:3 pbc="T T T"
Pb 0.002 0.004 3.871
F 0.009 1.302 5.894
F 1.948 4.243 3.865
F 3.878 4.252 5.888
F 0.007 1.298 1.846
Na 1.944 2.777 5.883
F 1.937 1.307 3.869
F 1.950 4.314 7.736
Na 1.941 2.773 1.851
Tm 0.000 0.000 0.000
F 1.934 1.235 -0.003
F 3.875 4.247 1.840
```

Results
Symmetry   Pmmm (47)
Raw total energy   -5.1629 eV per atom

***

Entry 12:
First-principles (PBE-GGA) data for a geometry-optimized Na2UPbF8 structure, as listed in Alexandria via LeMat-Bulk.

```
12
Lattice="-3.724 1.416 0.709 -1.387 -0.854 -5.476 -2.504 -7.486 1.801" Properties=species:S:1:pos:R:3 pbc="T T T"
Na -3.225 -1.722 -1.902
F -6.014 -4.655 0.797
F -3.461 -3.255 -0.140
Na -4.389 -5.203 -1.065
F -3.018 -6.509 -2.744
F -1.600 -2.269 -3.764
F -4.596 -0.415 -0.223
F -2.950 0.042 -3.925
F -4.664 -6.967 0.958
U 0.000 0.000 0.000
Pb -1.252 -3.743 0.901
F -4.153 -3.670 -2.827
```

Results
Symmetry   P2/m (10)
Raw total energy   -5.7612 eV per atom

***

- Number 6 is which compound?
  Na2TcPbF8

***

- Which value of raw total energy does entry 12 give?
  -5.7612 eV per atom

***

- What is the raw total energy in the eighth record?
  -4.1987 eV per atom